i) A geometry-optimized AgHSe structure. Source: Alexandria, functional PBE.

Cell: 4.5896 4.5967 6.4795 Å, 87.34 87.39 60.27°
Atoms (fractional coordinates):
Ag (0.0116, 0.0135, 0.2323)
Ag (0.9884, 0.9865, 0.7677)
H (0.3312, 0.3304, 0.5241)
H (0.6688, 0.6696, 0.4759)
Se (0.3227, 0.3220, 0.7545)
Se (0.6773, 0.6780, 0.2455)

Results
Space group: P-1 (2)
Fermi-level density of states (states/eV/cell): 0.281

ii) A geometry-optimized AgHSe structure. Source: Alexandria, functional PBE.

Cell: 7.1287 6.3740 6.3282 Å, 90.00 90.00 90.00°
Atoms (fractional coordinates):
Ag (0.0000, 0.0000, 0.0000)
Ag (0.0000, 0.0000, 0.5000)
Ag (0.0000, 0.5000, 0.0000)
Ag (0.0000, 0.5000, 0.5000)
H (0.3126, 0.2500, 0.2817)
H (0.3126, 0.7500, 0.7817)
H (0.6874, 0.2500, 0.7817)
H (0.6874, 0.7500, 0.2817)
Se (0.2757, 0.2500, 0.5131)
Se (0.2757, 0.7500, 0.0131)
Se (0.7243, 0.2500, 0.0131)
Se (0.7243, 0.7500, 0.5131)

Results
Space group: Aem2 (39)
Fermi-level density of states (states/eV/cell): 0.000

iii) A geometry-optimized AgHSe structure. Source: Alexandria, functional PBE.

Cell: 15.1839 4.6441 3.9091 Å, 90.00 90.18 90.00°
Atoms (fractional coordinates):
Ag (0.2027, 0.0000, 0.3909)
Ag (0.2973, 0.5000, 0.6091)
Ag (0.7027, 0.5000, 0.3909)
Ag (0.7973, 0.0000, 0.6091)
H (0.0813, 0.5000, 0.6139)
H (0.4187, 0.0000, 0.3861)
H (0.5813, 0.0000, 0.6139)
H (0.9187, 0.5000, 0.3861)
Se (0.1254, 0.5000, 0.2718)
Se (0.3746, 0.0000, 0.7282)
Se (0.6254, 0.0000, 0.2718)
Se (0.8746, 0.5000, 0.7282)

Results
Space group: C2/m (12)

Of them, the most stable is ii) and the least stable is iii).

i) A geometry-optimized AgH2Se2 structure. Source: Alexandria, functional PBE.

Cell: 5.3937 5.3937 5.2568 Å, 90.00 90.00 90.00°
Atoms (fractional coordinates):
Ag (0.0000, 0.0000, 0.0000)
Ag (0.5000, 0.5000, 0.5000)
H (0.0000, 0.0000, 0.4279)
H (0.0000, 0.0000, 0.5721)
H (0.5000, 0.5000, 0.0721)
H (0.5000, 0.5000, 0.9279)
Se (0.0000, 0.5000, 0.2500)
Se (0.0000, 0.5000, 0.7500)
Se (0.5000, 0.0000, 0.2500)
Se (0.5000, 0.0000, 0.7500)

Results
Space group: I4/mmm (139)
Fermi-level density of states (states/eV/cell): 3.567

ii) A geometry-optimized AgH2Se2 structure. Source: Alexandria, functional PBE.

Cell: 3.9170 3.1791 7.3074 Å, 90.00 105.53 90.00°
Atoms (fractional coordinates):
Ag (0.0000, 0.0000, 0.0000)
H (0.3259, 0.5000, 0.6431)
H (0.6653, 0.0000, 0.3387)
Se (0.3706, 0.0000, 0.7379)
Se (0.6137, 0.5000, 0.2335)

Results
Space group: Pm (6)
Fermi-level density of states (states/eV/cell): 3.246

iii) A geometry-optimized AgH2Se2 structure. Source: Alexandria, functional PBE.

Cell: 3.2424 3.2424 13.1405 Å, 90.00 90.00 90.00°
Atoms (fractional coordinates):
Ag (0.0000, 0.0000, 0.0000)
Ag (0.5000, 0.5000, 0.5000)
H (0.0000, 0.5000, 0.2500)
H (0.0000, 0.5000, 0.7500)
H (0.5000, 0.0000, 0.2500)
H (0.5000, 0.0000, 0.7500)
Se (0.0000, 0.0000, 0.3524)
Se (0.0000, 0.0000, 0.6476)
Se (0.5000, 0.5000, 0.1476)
Se (0.5000, 0.5000, 0.8524)

Results
Space group: I4/mmm (139)
Fermi-level density of states (states/eV/cell): 5.353

Of them, the most stable is i) and the least stable is iii).

i) A geometry-optimized AgH2Se2 structure. Source: Alexandria, functional PBE.

Cell: 3.9683 4.6705 5.8271 Å, 100.83 92.23 114.95°
Atoms (fractional coordinates):
Ag (0.0000, 0.0000, 0.0000)
H (0.2040, 0.4397, 0.8055)
H (0.7960, 0.5603, 0.1945)
Se (0.3430, 0.7400, 0.7094)
Se (0.6570, 0.2600, 0.2906)

Results
Space group: P-1 (2)
Fermi-level density of states (states/eV/cell): 0.714

ii) A geometry-optimized AgH2Se2 structure. Source: Alexandria, functional PBE.

Cell: 7.4744 7.4744 3.1887 Å, 90.00 90.00 90.00°
Atoms (fractional coordinates):
Ag (0.0000, 0.0000, 0.0000)
Ag (0.5000, 0.5000, 0.0000)
H (0.1278, 0.3722, 0.5000)
H (0.3722, 0.8722, 0.5000)
H (0.6278, 0.1278, 0.5000)
H (0.8722, 0.6278, 0.5000)
Se (0.1938, 0.3062, 0.0000)
Se (0.3062, 0.8062, 0.0000)
Se (0.6938, 0.1938, 0.0000)
Se (0.8062, 0.6938, 0.0000)

Results
Space group: P4/mbm (127)
Fermi-level density of states (states/eV/cell): 1.877

Of them, the most stable is i) and the least stable is ii).

i) A geometry-optimized AgHSe2 structure. Source: Alexandria, functional PBE.

Cell: 6.4668 6.4668 6.4668 Å, 90.00 90.00 90.00°
Atoms (fractional coordinates):
Ag (0.0000, 0.0000, 0.0000)
Ag (0.0000, 0.5000, 0.5000)
Ag (0.5000, 0.0000, 0.5000)
Ag (0.5000, 0.5000, 0.0000)
H (0.0000, 0.0000, 0.5000)
H (0.0000, 0.5000, 0.0000)
H (0.5000, 0.0000, 0.0000)
H (0.5000, 0.5000, 0.5000)
Se (0.2500, 0.2500, 0.2500)
Se (0.2500, 0.2500, 0.7500)
Se (0.2500, 0.7500, 0.2500)
Se (0.2500, 0.7500, 0.7500)
Se (0.7500, 0.2500, 0.2500)
Se (0.7500, 0.2500, 0.7500)
Se (0.7500, 0.7500, 0.2500)
Se (0.7500, 0.7500, 0.7500)

Results
Space group: Fm-3m (225)
Fermi-level density of states (states/eV/cell): 11.881

ii) A geometry-optimized AgHSe2 structure. Source: Alexandria, functional PBE.

Cell: 3.0990 3.0990 23.9973 Å, 90.00 90.00 120.00°
Atoms (fractional coordinates):
Ag (0.0000, 0.0000, 0.0000)
Ag (0.3333, 0.6667, 0.6667)
Ag (0.6667, 0.3333, 0.3333)
H (0.0000, 0.0000, 0.5000)
H (0.3333, 0.6667, 0.1667)
H (0.6667, 0.3333, 0.8333)
Se (0.0000, 0.0000, 0.1070)
Se (0.0000, 0.0000, 0.8930)
Se (0.3333, 0.6667, 0.5597)
Se (0.3333, 0.6667, 0.7737)
Se (0.6667, 0.3333, 0.2263)
Se (0.6667, 0.3333, 0.4403)

Results
Space group: R-3m (166)
Fermi-level density of states (states/eV/cell): 4.041

Of them, the most stable is ii) and the least stable is i).

i) A geometry-optimized AgHSe2 structure. Source: Alexandria, functional PBE.

Cell: 5.6989 5.1365 13.2327 Å, 90.00 113.17 90.00°
Atoms (fractional coordinates):
Ag (0.1440, 0.2424, 0.1328)
Ag (0.1440, 0.7576, 0.6328)
Ag (0.8560, 0.2424, 0.3672)
Ag (0.8560, 0.7576, 0.8672)
H (0.3405, 0.4790, 0.8591)
H (0.3405, 0.5210, 0.3591)
H (0.6595, 0.4790, 0.6409)
H (0.6595, 0.5210, 0.1409)
Se (0.0300, 0.2584, 0.5761)
Se (0.0300, 0.7416, 0.0761)
Se (0.3409, 0.2322, 0.3454)
Se (0.3409, 0.7678, 0.8454)
Se (0.6591, 0.2322, 0.1546)
Se (0.6591, 0.7678, 0.6546)
Se (0.9700, 0.2584, 0.9239)
Se (0.9700, 0.7416, 0.4239)

Results
Space group: P2/c (13)
Fermi-level density of states (states/eV/cell): 7.792

ii) A geometry-optimized AgHSe2 structure. Source: Alexandria, functional PBE.

Cell: 4.0720 4.0720 18.4035 Å, 90.00 90.00 120.00°
Atoms (fractional coordinates):
Ag (0.0000, 0.0000, 0.0000)
Ag (0.3333, 0.6667, 0.6667)
Ag (0.6667, 0.3333, 0.3333)
H (0.0000, 0.0000, 0.5000)
H (0.3333, 0.6667, 0.1667)
H (0.6667, 0.3333, 0.8333)
Se (0.0000, 0.0000, 0.4047)
Se (0.0000, 0.0000, 0.5953)
Se (0.3333, 0.6667, 0.0714)
Se (0.3333, 0.6667, 0.2619)
Se (0.6667, 0.3333, 0.7381)
Se (0.6667, 0.3333, 0.9286)

Results
Space group: R-3m (166)
Fermi-level density of states (states/eV/cell): 7.720

Of them, the most stable is i) and the least stable is ii).

i) A geometry-optimized Ag2HSe structure. Source: Alexandria, functional PBE.

Cell: 6.4416 6.4416 6.4416 Å, 90.00 90.00 90.00°
Atoms (fractional coordinates):
Ag (0.2500, 0.2500, 0.2500)
Ag (0.2500, 0.2500, 0.7500)
Ag (0.2500, 0.7500, 0.2500)
Ag (0.2500, 0.7500, 0.7500)
Ag (0.7500, 0.2500, 0.2500)
Ag (0.7500, 0.2500, 0.7500)
Ag (0.7500, 0.7500, 0.2500)
Ag (0.7500, 0.7500, 0.7500)
H (0.0000, 0.0000, 0.0000)
H (0.0000, 0.5000, 0.5000)
H (0.5000, 0.0000, 0.5000)
H (0.5000, 0.5000, 0.0000)
Se (0.0000, 0.0000, 0.5000)
Se (0.0000, 0.5000, 0.0000)
Se (0.5000, 0.0000, 0.0000)
Se (0.5000, 0.5000, 0.5000)

Results
Space group: Fm-3m (225)
Fermi-level density of states (states/eV/cell): 3.374

ii) A geometry-optimized Ag2HSe structure. Source: Alexandria, functional PBE.

Cell: 5.7270 3.8353 13.8603 Å, 90.00 111.89 90.00°
Atoms (fractional coordinates):
Ag (0.1246, 0.2487, 0.1690)
Ag (0.1246, 0.7513, 0.6690)
Ag (0.2529, 0.2511, 0.5396)
Ag (0.2529, 0.7489, 0.0396)
Ag (0.7471, 0.2511, 0.9604)
Ag (0.7471, 0.7489, 0.4604)
Ag (0.8754, 0.2487, 0.3310)
Ag (0.8754, 0.7513, 0.8310)
H (0.1234, 0.2514, 0.6429)
H (0.1234, 0.7486, 0.1429)
H (0.8766, 0.2514, 0.8571)
H (0.8766, 0.7486, 0.3571)
Se (0.3871, 0.2488, 0.3732)
Se (0.3871, 0.7512, 0.8732)
Se (0.6129, 0.2488, 0.1268)
Se (0.6129, 0.7512, 0.6268)

Results
Space group: P2/c (13)
Fermi-level density of states (states/eV/cell): 7.881

Of them, the most stable is ii) and the least stable is i).

i) A geometry-optimized SiAgH3 structure. Source: Alexandria, functional PBE.

Cell: 3.6356 3.6356 3.6356 Å, 90.00 90.00 90.00°
Atoms (fractional coordinates):
Si (0.0000, 0.0000, 0.0000)
Ag (0.5000, 0.5000, 0.5000)
H (0.0000, 0.0000, 0.5000)
H (0.0000, 0.5000, 0.0000)
H (0.5000, 0.0000, 0.0000)

Results
Space group: Pm-3m (221)
Fermi-level density of states (states/eV/cell): 0.964

ii) A geometry-optimized SiAgH3 structure. Source: Alexandria, functional PBE.

Cell: 3.7264 3.7264 3.7264 Å, 90.00 90.00 90.00°
Atoms (fractional coordinates):
Si (0.0000, 0.0000, 0.0000)
Ag (0.5000, 0.5000, 0.5000)
H (0.0000, 0.5000, 0.5000)
H (0.5000, 0.0000, 0.5000)
H (0.5000, 0.5000, 0.0000)

Results
Space group: Pm-3m (221)
Fermi-level density of states (states/eV/cell): 1.395

Of them, the most stable is i) and the least stable is ii).

i) A geometry-optimized SmAgH structure. Source: Alexandria, functional PBE.

Cell: 3.3465 3.3465 19.9801 Å, 90.00 90.00 90.00°
Atoms (fractional coordinates):
Sm (0.0000, 0.0000, 0.1788)
Sm (0.0000, 0.0000, 0.8212)
Sm (0.5000, 0.5000, 0.3212)
Sm (0.5000, 0.5000, 0.6788)
Ag (0.0000, 0.0000, 0.4310)
Ag (0.0000, 0.0000, 0.5690)
Ag (0.5000, 0.5000, 0.0690)
Ag (0.5000, 0.5000, 0.9310)
H (0.0000, 0.0000, 0.2933)
H (0.0000, 0.0000, 0.7067)
H (0.5000, 0.5000, 0.2067)
H (0.5000, 0.5000, 0.7933)

Results
Space group: I4/mmm (139)
Fermi-level density of states (states/eV/cell): 4.815

ii) A geometry-optimized SmAgH structure. Source: Alexandria, functional PBE.

Cell: 3.3801 3.3801 10.0806 Å, 90.00 90.00 90.00°
Atoms (fractional coordinates):
Sm (0.0000, 0.0000, 0.0000)
Sm (0.5000, 0.5000, 0.5000)
Ag (0.0000, 0.0000, 0.2938)
Ag (0.5000, 0.5000, 0.7938)
H (0.0000, 0.0000, 0.5175)
H (0.5000, 0.5000, 0.0175)

Results
Space group: I4mm (107)
Fermi-level density of states (states/eV/cell): 3.645

Of them, the most stable is i) and the least stable is ii).

i) A geometry-optimized Ag2SnH structure. Source: Alexandria, functional PBE.

Cell: 6.5594 6.5594 6.5594 Å, 90.00 90.00 90.00°
Atoms (fractional coordinates):
Ag (0.2500, 0.2500, 0.2500)
Ag (0.2500, 0.2500, 0.7500)
Ag (0.2500, 0.7500, 0.2500)
Ag (0.2500, 0.7500, 0.7500)
Ag (0.7500, 0.2500, 0.2500)
Ag (0.7500, 0.2500, 0.7500)
Ag (0.7500, 0.7500, 0.2500)
Ag (0.7500, 0.7500, 0.7500)
Sn (0.0000, 0.0000, 0.0000)
Sn (0.0000, 0.5000, 0.5000)
Sn (0.5000, 0.0000, 0.5000)
Sn (0.5000, 0.5000, 0.0000)
H (0.0000, 0.0000, 0.5000)
H (0.0000, 0.5000, 0.0000)
H (0.5000, 0.0000, 0.0000)
H (0.5000, 0.5000, 0.5000)

Results
Space group: Fm-3m (225)
Fermi-level density of states (states/eV/cell): 6.360

ii) A geometry-optimized Ag2SnH structure. Source: Alexandria, functional PBE.

Cell: 6.0998 6.0998 7.5752 Å, 90.00 90.00 90.00°
Atoms (fractional coordinates):
Ag (0.1066, 0.7500, 0.1250)
Ag (0.2500, 0.1066, 0.8750)
Ag (0.2500, 0.3934, 0.3750)
Ag (0.3934, 0.7500, 0.6250)
Ag (0.6066, 0.2500, 0.6250)
Ag (0.7500, 0.6066, 0.3750)
Ag (0.7500, 0.8934, 0.8750)
Ag (0.8934, 0.2500, 0.1250)
Sn (0.0000, 0.0000, 0.5000)
Sn (0.0000, 0.5000, 0.7500)
Sn (0.5000, 0.0000, 0.2500)
Sn (0.5000, 0.5000, 0.0000)
H (0.0000, 0.0000, 0.0000)
H (0.0000, 0.5000, 0.2500)
H (0.5000, 0.0000, 0.7500)
H (0.5000, 0.5000, 0.5000)

Results
Space group: I-42d (122)
Fermi-level density of states (states/eV/cell): 3.504

Of them, the most stable is ii) and the least stable is i).

i) A geometry-optimized AgSnH3 structure. Source: Alexandria, functional PBE.

Cell: 3.9029 3.9029 3.9029 Å, 90.00 90.00 90.00°
Atoms (fractional coordinates):
Ag (0.0000, 0.0000, 0.0000)
Sn (0.5000, 0.5000, 0.5000)
H (0.0000, 0.0000, 0.5000)
H (0.0000, 0.5000, 0.0000)
H (0.5000, 0.0000, 0.0000)

Results
Space group: Pm-3m (221)
Fermi-level density of states (states/eV/cell): 1.224

ii) A geometry-optimized AgSnH3 structure. Source: Alexandria, functional PBE.

Cell: 4.0452 4.0452 4.0452 Å, 90.00 90.00 90.00°
Atoms (fractional coordinates):
Ag (0.0000, 0.0000, 0.0000)
Sn (0.5000, 0.5000, 0.5000)
H (0.0000, 0.5000, 0.5000)
H (0.5000, 0.0000, 0.5000)
H (0.5000, 0.5000, 0.0000)

Results
Space group: Pm-3m (221)
Fermi-level density of states (states/eV/cell): 1.236

Of them, the most stable is i) and the least stable is ii).

i) A geometry-optimized SrAgH2 structure. Source: Alexandria, functional PBE.

Cell: 6.2768 6.2768 6.2768 Å, 90.00 90.00 90.00°
Atoms (fractional coordinates):
Sr (0.0000, 0.0000, 0.0000)
Sr (0.0000, 0.5000, 0.5000)
Sr (0.5000, 0.0000, 0.5000)
Sr (0.5000, 0.5000, 0.0000)
Ag (0.0000, 0.0000, 0.5000)
Ag (0.0000, 0.5000, 0.0000)
Ag (0.5000, 0.0000, 0.0000)
Ag (0.5000, 0.5000, 0.5000)
H (0.2500, 0.2500, 0.2500)
H (0.2500, 0.2500, 0.7500)
H (0.2500, 0.7500, 0.2500)
H (0.2500, 0.7500, 0.7500)
H (0.7500, 0.2500, 0.2500)
H (0.7500, 0.2500, 0.7500)
H (0.7500, 0.7500, 0.2500)
H (0.7500, 0.7500, 0.7500)

Results
Space group: Fm-3m (225)
Fermi-level density of states (states/eV/cell): 2.395

ii) A geometry-optimized SrAgH2 structure. Source: Alexandria, functional PBE.

Cell: 4.2610 4.2610 14.1203 Å, 90.00 90.00 120.00°
Atoms (fractional coordinates):
Sr (0.0000, 0.0000, 0.0000)
Sr (0.3333, 0.6667, 0.6667)
Sr (0.6667, 0.3333, 0.3333)
Ag (0.0000, 0.0000, 0.5000)
Ag (0.3333, 0.6667, 0.1667)
Ag (0.6667, 0.3333, 0.8333)
H (0.0000, 0.0000, 0.3784)
H (0.0000, 0.0000, 0.6216)
H (0.3333, 0.6667, 0.0450)
H (0.3333, 0.6667, 0.2883)
H (0.6667, 0.3333, 0.7117)
H (0.6667, 0.3333, 0.9550)

Results
Space group: R-3m (166)
Fermi-level density of states (states/eV/cell): 5.235

Of them, the most stable is ii) and the least stable is i).

i) A geometry-optimized SrAg2H structure. Source: Alexandria, functional PBE.

Cell: 6.1390 6.1390 8.7888 Å, 90.00 90.00 90.00°
Atoms (fractional coordinates):
Sr (0.0000, 0.2500, 0.3750)
Sr (0.0000, 0.7500, 0.6250)
Sr (0.5000, 0.2500, 0.1250)
Sr (0.5000, 0.7500, 0.8750)
Ag (0.0000, 0.0000, 0.0000)
Ag (0.0000, 0.5000, 0.0000)
Ag (0.2500, 0.2500, 0.7500)
Ag (0.2500, 0.7500, 0.2500)
Ag (0.5000, 0.0000, 0.5000)
Ag (0.5000, 0.5000, 0.5000)
Ag (0.7500, 0.2500, 0.7500)
Ag (0.7500, 0.7500, 0.2500)
H (0.0000, 0.2500, 0.8750)
H (0.0000, 0.7500, 0.1250)
H (0.5000, 0.2500, 0.6250)
H (0.5000, 0.7500, 0.3750)

Results
Space group: I4_1/amd (141)
Fermi-level density of states (states/eV/cell): 5.090

ii) A geometry-optimized SrAg2H structure. Source: Alexandria, functional PBE.

Cell: 7.1630 7.1630 7.1630 Å, 90.00 90.00 90.00°
Atoms (fractional coordinates):
Sr (0.0000, 0.0000, 0.0000)
Sr (0.0000, 0.5000, 0.5000)
Sr (0.5000, 0.0000, 0.5000)
Sr (0.5000, 0.5000, 0.0000)
Ag (0.2500, 0.2500, 0.2500)
Ag (0.2500, 0.2500, 0.7500)
Ag (0.2500, 0.7500, 0.2500)
Ag (0.2500, 0.7500, 0.7500)
Ag (0.7500, 0.2500, 0.2500)
Ag (0.7500, 0.2500, 0.7500)
Ag (0.7500, 0.7500, 0.2500)
Ag (0.7500, 0.7500, 0.7500)
H (0.0000, 0.0000, 0.5000)
H (0.0000, 0.5000, 0.0000)
H (0.5000, 0.0000, 0.0000)
H (0.5000, 0.5000, 0.5000)

Results
Space group: Fm-3m (225)
Fermi-level density of states (states/eV/cell): 6.563

Of them, the most stable is i) and the least stable is ii).